No. 1
The following is a DFT calculation (PBE) of a relaxed LiMnPt2 crystal.

Computed properties:
symmetry = C2/m, No. 12
DOS at the Fermi energy = 2.164 states/eV per cell
relative energy among the computed polymorphs = 136 meV per atom
density = 12.8 g/cm³
formation enthalpy at 0 K = -0.36 eV/atom

a b c (Å): 4.5596 4.5596 4.8517
angles (deg): 100.22 100.22 36.18
With the nearest neighbours (Å) after each atom.
Atoms (fractional coordinates):
Li 0.0000 0.0000 0.0000  6 Pt 2.64-2.69, 4 Mn 2.81, 2 Li 2.83
Mn 0.5000 0.5000 0.5000  6 Pt 2.67-2.70, 4 Li 2.81, 2 Mn 2.83
Pt 0.2476 0.2476 0.7537  3 Li 2.64-2.69, 3 Mn 2.67-2.70, 6 Pt 2.77-2.85
Pt 0.7524 0.7524 0.2463  3 Li 2.64-2.69, 3 Mn 2.67-2.70, 6 Pt 2.77-2.85

No. 2
The following is a DFT calculation (PBE) of a relaxed InPCl crystal.

Computed properties:
symmetry = F-43m, No. 216
DOS at the Fermi energy = 1.692 states/eV per cell
relative energy among the computed polymorphs = 947 meV per atom
formation energy from raw total energies = 0.67 eV per atom
density = 3.0 g/cm³

a b c (Å): 5.1978 5.1978 5.1978
angles (deg): 60.00 60.00 60.00
With the nearest neighbours (Å) after each atom.
Atoms (fractional coordinates):
In 0.0000 0.0000 0.0000  4 Cl 3.18
P 0.5000 0.5000 0.5000  4 Cl 3.18
Cl 0.7500 0.7500 0.7500  4 In 3.18, 4 P 3.18